Material: MgAlFeHg
Method: DFT, PBE
State: optimized geometry

```
4
Lattice="0.000 3.203 3.203 3.203 0.000 3.203 3.203 3.203 0.000" Properties=species:S:1:pos:R:3 pbc="T T T"
Mg 0.000 0.000 0.000
Al 3.203 3.203 3.203
Fe 4.805 4.805 4.805
Hg 1.602 1.602 1.602
```

Values from the calculation:
* M_tot: 1.97 μB per formula unit
* mass density: 7775 kg/m³
* VASP energy: -13.29 eV/cell
* energy above the most stable polymorph in this dataset: 0 meV per atom